Computed, not measured: a relaxed structure of BaPr3Ni2O8 at the GGA+U level of DFT.

VASP energy = -6.7841 eV/atom
Total magnetization = 3.00 μB/f.u.
Density = 7.00 g/cm3

Structure (POSCAR):
```
BaPr3Ni2O8
1.0
-5.083 -4.108 -2.398
6.932 -0.013 -0.640
0.409 -3.124 4.486
Ba Pr Ni O
1 3 2 8
Cartesian
-3.133 -5.075 0.100
2.564 -1.501 -1.279
-0.741 -2.628 -1.763
5.509 -2.130 1.364
1.161 -3.612 0.728
-5.048 -4.096 -2.393
4.755 -0.755 -0.959
-0.759 -4.266 0.447
3.260 -2.896 1.035
-2.972 -3.388 -2.089
0.693 -3.451 2.645
1.396 -3.852 -1.222
0.478 -1.807 0.285
1.611 -5.495 1.137
```